Here is an optimized crystal structure of Tm3Ga2Ni9Ge from Alexandria via LeMat-Bulk. Energies are from PBE.

Computed properties:
energy of formation from the pure elements = -0.151 eV/atom

```
15
Lattice="5.989 0.000 0.000 -2.995 5.187 0.000 0.000 0.000 8.339" Properties=species:S:1:pos:R:3 pbc="T T T"
Tm 0.000 0.000 0.000
Tm 0.000 3.458 5.980
Tm 2.995 1.729 2.359
Ga 0.000 3.458 1.575
Ga 2.995 1.729 6.763
Ni -1.497 2.593 0.000
Ni 0.000 1.378 2.316
Ni -1.801 4.498 2.316
Ni 1.193 0.689 6.023
Ni 2.995 0.000 0.000
Ni 1.497 2.593 0.000
Ni 1.801 4.498 2.316
Ni 4.796 0.689 6.023
Ni 2.995 3.809 6.023
Ge 0.000 0.000 4.169
```

Here is an optimized crystal structure of CeMgSi2 from Alexandria via LeMat-Bulk. Energies are from PBE.

Computed properties:
excess energy over the best structure of this formula in the dataset = 0 meV/atom
formation energy from raw total energies = -0.53 eV per atom

```
16
Lattice="-2.090 2.090 18.537 2.090 -2.090 18.537 2.090 2.090 -18.537" Properties=species:S:1:pos:R:3 pbc="T T T"
Ce 2.090 1.045 1.738
Ce 2.090 1.045 7.531
Ce 0.000 1.045 11.006
Ce 0.000 1.045 16.799
Mg 2.090 1.045 -4.631
Mg 0.000 1.045 4.637
Mg 2.090 1.045 13.899
Mg 0.000 1.045 23.168
Si 2.090 -1.045 9.799
Si 2.090 -1.045 12.110
Si 2.090 -1.045 15.695
Si 2.090 -1.045 18.007
Si 0.000 3.134 0.530
Si 0.000 3.134 2.841
Si 0.000 3.134 6.427
Si 0.000 3.134 8.738
```